Record 1
A relaxed structure of CrBAuC, computed with GGA-PBE.

Results
- Energy above the lowest structure with this stoichiometry: 0 meV per atom
- Calculated total energy: -28.088 eV per cell
- D(E_F): 3.099 states/eV/cell
- Space group: P3m1 (156)
- ΔH_f (0 K): 0.178 eV per atom

Lattice parameters (Å, degrees): 2.7759 2.7759 6.4574 90.00 90.00 120.00
Last column: nearest neighbours and their distance in Å.
Atoms (fractional coordinates):
Au (0.3333, 0.6667, 0.2167)  1 B 2.59, 6 Au 2.78, 3 Cr 2.79
C (0.6667, 0.3333, 0.6418)  3 B 1.61
B (0.3333, 0.6667, 0.6172)  3 C 1.61
Cr (0.0000, 0.0000, 0.8632)  3 C 2.15, 3 B 2.26


Record 2
A relaxed structure of CrBAuC, computed with GGA-PBE.

Results
- Energy above the lowest structure with this stoichiometry: 298 meV per atom
- Calculated total energy: -53.792 eV per cell
- D(E_F): 5.630 states/eV/cell
- Space group: Cm (8)
- ΔH_f (0 K): 0.477 eV per atom

Lattice parameters (Å, degrees): 3.0626 2.9510 10.4426 90.00 90.08 90.00
Last column: nearest neighbours and their distance in Å.
Atoms (fractional coordinates):
Au (0.0504, 0.5000, 0.3856)  1 C 2.16, 2 B 2.16
Au (0.0504, 0.0000, 0.8856)  1 C 2.16, 2 B 2.16
B (0.0499, 0.5000, 0.7343)  1 C 1.48
B (0.0499, 0.0000, 0.2344)  1 C 1.48
C (0.0490, 0.0000, 0.0924)  1 B 1.48
C (0.0490, 0.5000, 0.5924)  1 B 1.48
Cr (0.5491, 0.0000, 0.6182)  4 C 2.14
Cr (0.5491, 0.5000, 0.1182)  4 C 2.14


Record 3
A relaxed structure of CrBAuC, computed with GGA-PBE.

Results
- Energy above the lowest structure with this stoichiometry: 169 meV per atom
- Calculated total energy: -54.827 eV per cell
- D(E_F): 3.412 states/eV/cell
- Space group: Cm (8)
- ΔH_f (0 K): 0.347 eV per atom

Lattice parameters (Å, degrees): 5.5745 2.7505 6.3941 90.00 89.27 90.00
Last column: nearest neighbours and their distance in Å.
Atoms (fractional coordinates):
C (0.2774, 0.5000, 0.4321)  2 B 1.54
C (0.2774, 0.0000, 0.9321)  2 B 1.54
B (0.1894, 0.5000, 0.0090)  2 C 1.54
B (0.1894, 0.0000, 0.5090)  2 C 1.54
Au (0.7910, 0.5000, 0.0565)  1 B 2.24
Au (0.7910, 0.0000, 0.5565)  1 B 2.24
Cr (0.4032, 0.5000, 0.7246)  3 C 2.01-2.03, 1 B 2.16
Cr (0.4032, 0.0000, 0.2246)  3 C 2.01-2.03, 1 B 2.16


Record 4
A relaxed structure of CrBAuC, computed with GGA-PBE.

Results
- Energy above the lowest structure with this stoichiometry: 277 meV per atom
- Calculated total energy: -53.959 eV per cell
- D(E_F): 4.475 states/eV/cell
- Space group: Amm2 (38)
- ΔH_f (0 K): 0.456 eV per atom

Lattice parameters (Å, degrees): 3.1626 2.7542 11.3339 90.00 90.00 90.00
Last column: nearest neighbours and their distance in Å.
Atoms (fractional coordinates):
Au (0.0000, 0.5000, 0.8836)  2 B 2.33
Au (0.0000, 0.0000, 0.3836)  2 B 2.33
Cr (0.5000, 0.0000, 0.0456)  2 C 1.96, 1 B 2.12
Cr (0.5000, 0.5000, 0.5456)  2 C 1.96, 1 B 2.12
C (0.5000, 0.5000, 0.1688)  2 B 1.56
C (0.5000, 0.0000, 0.6688)  2 B 1.56
B (0.5000, 0.0000, 0.2326)  2 C 1.56
B (0.5000, 0.5000, 0.7326)  2 C 1.56


Record 5
A relaxed structure of CrBAuC, computed with GGA-PBE.

Results
- Energy above the lowest structure with this stoichiometry: 112 meV per atom
- Calculated total energy: -27.640 eV per cell
- D(E_F): 2.145 states/eV/cell
- Space group: Cm (8)
- ΔH_f (0 K): 0.291 eV per atom

Lattice parameters (Å, degrees): 2.7705 3.9165 5.3212 96.18 74.93 69.31
Last column: nearest neighbours and their distance in Å.
Atoms (fractional coordinates):
B (0.3222, 0.9889, 0.4765)  2 C 1.53
Au (0.1198, 0.8144, 0.0556)  1 C 2.48, 2 B 2.53, 2 Cr 2.73, 2 Au 2.77
C (0.7083, 0.1652, 0.5282)  2 B 1.53
Cr (0.9607, 0.6000, 0.5884)  3 C 2.08-2.16, 3 B 2.15-2.19


Record 6
A relaxed structure of CrBAuC, computed with GGA-PBE.

Results
- Energy above the lowest structure with this stoichiometry: 106 meV per atom
- Calculated total energy: -82.989 eV per cell
- D(E_F): 7.483 states/eV/cell
- Space group: R3m (160)
- ΔH_f (0 K): 0.285 eV per atom

Lattice parameters (Å, degrees): 2.7463 2.7463 19.6801 90.00 90.00 120.00
Last column: nearest neighbours and their distance in Å.
Atoms (fractional coordinates):
Cr (0.6667, 0.3333, 0.7080)  1 B 1.96, 3 C 2.13
Cr (0.0000, 0.0000, 0.3746)  1 B 1.96, 3 C 2.13
Cr (0.3333, 0.6667, 0.0413)  1 B 1.96, 3 C 2.13
Au (0.3333, 0.6667, 0.2574)  1 B 2.29
Au (0.0000, 0.0000, 0.5908)  1 B 2.29
Au (0.6667, 0.3333, 0.9241)  1 B 2.29
C (0.3333, 0.6667, 0.4471)  3 B 1.67
C (0.6667, 0.3333, 0.1138)  3 B 1.67
C (0.0000, 0.0000, 0.7805)  3 B 1.67
B (0.0000, 0.0000, 0.4745)  3 C 1.67
B (0.6667, 0.3333, 0.8078)  3 C 1.67
B (0.3333, 0.6667, 0.1411)  3 C 1.67


Record 7
A relaxed structure of CrBAuC, computed with GGA-PBE.

Results
- Energy above the lowest structure with this stoichiometry: 373 meV per atom
- Calculated total energy: -26.597 eV per cell
- D(E_F): 2.496 states/eV/cell
- Space group: P4mm (99)
- ΔH_f (0 K): 0.551 eV per atom

Lattice parameters (Å, degrees): 3.0582 3.0582 5.6008 90.00 90.00 90.00
Last column: nearest neighbours and their distance in Å.
Atoms (fractional coordinates):
Cr (0.5000, 0.5000, 0.7846)  4 C 2.17
C (0.0000, 0.0000, 0.8099)  1 B 1.44
B (0.0000, 0.0000, 0.5527)  1 C 1.44
Au (0.0000, 0.0000, 0.1916)  1 B 2.02, 1 C 2.14


Record 8
A relaxed structure of CrBAuC, computed with GGA-PBE.

Results
- Energy above the lowest structure with this stoichiometry: 65 meV per atom
- Calculated total energy: -55.659 eV per cell
- D(E_F): 4.587 states/eV/cell
- Space group: Amm2 (38)
- ΔH_f (0 K): 0.243 eV per atom

Lattice parameters (Å, degrees): 3.2909 2.8664 10.2924 90.00 90.00 90.00
Last column: nearest neighbours and their distance in Å.
Atoms (fractional coordinates):
B (0.0000, 0.5000, 0.6373)  2 C 1.57
B (0.0000, 0.0000, 0.1373)  2 C 1.57
C (0.0000, 0.0000, 0.6989)  2 B 1.57
C (0.0000, 0.5000, 0.1989)  2 B 1.57
Au (0.0000, 0.0000, 0.9075)  1 C 2.15, 1 B 2.37
Au (0.0000, 0.5000, 0.4075)  1 C 2.15, 1 B 2.37
Cr (0.5000, 0.5000, 0.0869)  2 C 2.01, 4 B 2.24
Cr (0.5000, 0.0000, 0.5869)  2 C 2.01, 4 B 2.24